(1)
TaFe2Se: optimized geometry, PBEsol.

a = 3.105 Å, b = 4.175 Å, c = 4.216 Å
α = 90.00°, β = 90.00°, γ = 90.00°
Fractional coordinates of all 4 atoms:
1 Ta 0.000 0.000 0.000
2 Fe 0.000 0.500 0.500
3 Fe 0.500 0.000 0.500
4 Se 0.500 0.500 0.000

***

(2)
PrP2H7O7: optimized geometry, PBEsol.

a = 6.615 Å, b = 7.132 Å, c = 16.207 Å
α = 90.00°, β = 90.00°, γ = 90.00°
Fractional coordinates of all 68 atoms:
1 Pr 0.143 0.156 0.223
2 Pr 0.357 0.844 0.723
3 Pr 0.643 0.344 0.777
4 Pr 0.857 0.656 0.277
5 P 0.168 0.380 0.428
6 P 0.187 0.341 0.708
7 P 0.313 0.659 0.208
8 P 0.332 0.620 0.928
9 P 0.668 0.120 0.572
10 P 0.687 0.159 0.292
11 P 0.813 0.841 0.792
12 P 0.832 0.880 0.072
13 H 0.033 0.335 0.493
14 H 0.060 0.750 0.583
15 H 0.137 0.305 0.624
16 H 0.146 0.581 0.969
17 H 0.216 0.023 0.909
18 H 0.238 0.756 0.408
19 H 0.249 0.836 0.531
20 H 0.251 0.164 0.031
21 H 0.262 0.244 0.908
22 H 0.284 0.977 0.409
23 H 0.354 0.419 0.469
24 H 0.363 0.695 0.124
25 H 0.440 0.250 0.083
26 H 0.467 0.665 0.993
27 H 0.533 0.165 0.507
28 H 0.560 0.750 0.417
29 H 0.637 0.195 0.376
30 H 0.646 0.919 0.031
31 H 0.716 0.477 0.091
32 H 0.738 0.744 0.592
33 H 0.749 0.664 0.469
34 H 0.751 0.336 0.969
35 H 0.762 0.256 0.092
36 H 0.784 0.523 0.591
37 H 0.854 0.081 0.531
38 H 0.863 0.805 0.876
39 H 0.940 0.250 0.917
40 H 0.967 0.835 0.007
41 O 0.006 0.866 0.744
42 O 0.097 0.561 0.387
43 O 0.170 0.488 0.209
44 O 0.175 0.145 0.933
45 O 0.180 0.824 0.238
46 O 0.191 0.820 0.588
47 O 0.194 0.206 0.374
48 O 0.306 0.794 0.874
49 O 0.309 0.180 0.088
50 O 0.320 0.176 0.738
51 O 0.325 0.855 0.433
52 O 0.330 0.512 0.709
53 O 0.403 0.439 0.887
54 O 0.494 0.134 0.244
55 O 0.506 0.634 0.256
56 O 0.597 0.939 0.613
57 O 0.670 0.012 0.791
58 O 0.675 0.355 0.067
59 O 0.680 0.676 0.762
60 O 0.691 0.680 0.412
61 O 0.694 0.294 0.626
62 O 0.806 0.706 0.126
63 O 0.809 0.320 0.912
64 O 0.820 0.324 0.262
65 O 0.825 0.645 0.567
66 O 0.830 0.988 0.291
67 O 0.903 0.061 0.113
68 O 0.994 0.366 0.756

***

(3)
SrSbAs: optimized geometry, PBEsol.

Values from the calculation:
- Relative energy among the computed polymorphs: 153.6 meV/atom

a = 4.771 Å, b = 4.771 Å, c = 4.409 Å
α = 90.00°, β = 90.00°, γ = 120.00°
Fractional coordinates of all 3 atoms:
1 Sr 0.000 0.000 0.000
2 Sb 0.667 0.333 0.464
3 As 0.333 0.667 0.563

***

(4)
K2CoBiSe: optimized geometry, PBEsol.

a = 6.789 Å, b = 6.789 Å, c = 5.413 Å
α = 90.00°, β = 90.00°, γ = 90.00°
Fractional coordinates of all 5 atoms:
1 K 0.000 0.500 0.000
2 K 0.500 0.000 0.000
3 Co 0.000 0.000 0.500
4 Bi 0.500 0.500 0.000
5 Se 0.500 0.500 0.500

***

(5)
Ni2OsCl: optimized geometry, PBEsol.

Values from the calculation:
- Relative energy among the computed polymorphs: 206.7 meV/atom

a = 4.887 Å, b = 4.887 Å, c = 4.887 Å
α = 147.75°, β = 126.89°, γ = 63.51°
Fractional coordinates of all 4 atoms:
1 Ni 0.237 0.237 0.000
2 Ni 0.763 0.763 0.000
3 Os 0.500 0.000 0.500
4 Cl 0.000 0.500 0.500

***

(6)
Ta4SbPt: optimized geometry, PBEsol.

a = 5.393 Å, b = 5.393 Å, c = 5.393 Å
α = 60.00°, β = 60.00°, γ = 60.00°
Fractional coordinates of all 6 atoms:
1 Ta 0.376 0.376 0.376
2 Ta 0.376 0.376 0.873
3 Ta 0.376 0.873 0.376
4 Ta 0.873 0.376 0.376
5 Sb 0.750 0.750 0.750
6 Pt 0.000 0.000 0.000

***

(7)
AlCuCl4: optimized geometry, PBEsol.

a = 5.748 Å, b = 5.748 Å, c = 5.748 Å
α = 60.00°, β = 60.00°, γ = 60.00°
Fractional coordinates of all 6 atoms:
1 Al 0.000 0.000 0.000
2 Cu 0.750 0.750 0.750
3 Cl 0.375 0.375 0.375
4 Cl 0.375 0.375 0.874
5 Cl 0.375 0.874 0.375
6 Cl 0.874 0.375 0.375

***

(8)
LaOsW2: optimized geometry, PBEsol.

Values from the calculation:
- Calculated formation energy: 0.556 eV per atom
- Relative energy among the computed polymorphs: 48.0 meV/atom

a = 2.858 Å, b = 4.226 Å, c = 6.362 Å
α = 90.00°, β = 98.48°, γ = 90.00°
Fractional coordinates of all 4 atoms:
1 La 0.000 0.000 0.000
2 Os 0.776 0.500 0.304
3 W 0.221 0.500 0.679
4 W 0.471 0.000 0.485

***

(9)
LaRe2Hg: optimized geometry, PBEsol.

Values from the calculation:
- Calculated formation energy: 1.077 eV per atom
- Relative energy among the computed polymorphs: 302.8 meV/atom

a = 4.721 Å, b = 4.721 Å, c = 4.721 Å
α = 60.00°, β = 60.00°, γ = 60.00°
Fractional coordinates of all 4 atoms:
1 La 0.000 0.000 0.000
2 Re 0.250 0.250 0.250
3 Re 0.750 0.750 0.750
4 Hg 0.500 0.500 0.500

***

(10)
Zr2MoBr: optimized geometry, PBEsol.

Values from the calculation:
- Relative energy among the computed polymorphs: 258.7 meV/atom

a = 4.890 Å, b = 4.890 Å, c = 3.232 Å
α = 95.96°, β = 95.96°, γ = 99.55°
Fractional coordinates of all 4 atoms:
1 Zr 0.000 0.500 0.000
2 Zr 0.500 0.000 0.000
3 Mo 0.000 0.000 0.500
4 Br 0.500 0.500 0.500

***

(11)
SrLi2Al: optimized geometry, PBEsol.

Values from the calculation:
- Calculated formation energy: 0.063 eV per atom

a = 3.623 Å, b = 3.623 Å, c = 7.379 Å
α = 90.00°, β = 90.00°, γ = 90.00°
Fractional coordinates of all 4 atoms:
1 Sr 0.000 0.000 0.000
2 Li 0.500 0.500 0.320
3 Li 0.500 0.500 0.680
4 Al 0.000 0.000 0.500

***

(12)
Sc4AsRu: optimized geometry, PBEsol.

Values from the calculation:
- Calculated formation energy: 0.337 eV per atom

a = 5.414 Å, b = 5.414 Å, c = 5.414 Å
α = 60.00°, β = 60.00°, γ = 60.00°
Fractional coordinates of all 6 atoms:
1 Sc 0.124 0.124 0.124
2 Sc 0.124 0.124 0.629
3 Sc 0.124 0.629 0.124
4 Sc 0.629 0.124 0.124
5 As 0.500 0.500 0.500
6 Ru 0.750 0.750 0.750

***

(13)
SbOs2W: optimized geometry, PBEsol.

a = 4.955 Å, b = 4.955 Å, c = 4.955 Å
α = 133.67°, β = 133.67°, γ = 67.61°
Fractional coordinates of all 4 atoms:
1 Sb 0.000 0.000 0.000
2 Os 0.250 0.750 0.500
3 Os 0.500 0.500 0.000
4 W 0.750 0.250 0.500

***

(14)
Ni5Rh: optimized geometry, PBEsol.

Values from the calculation:
- Calculated formation energy: 0.034 eV per atom

a = 5.531 Å, b = 5.531 Å, c = 4.995 Å
α = 103.02°, β = 103.02°, γ = 26.38°
Fractional coordinates of all 6 atoms:
1 Ni 0.000 0.000 0.000
2 Ni 0.330 0.330 0.670
3 Ni 0.332 0.332 0.161
4 Ni 0.668 0.668 0.839
5 Ni 0.670 0.670 0.330
6 Rh 0.000 0.000 0.500

***

(15)
Ba4YAs: optimized geometry, PBEsol.

Values from the calculation:
- Calculated formation energy: 0.440 eV per atom

a = 7.041 Å, b = 7.041 Å, c = 7.041 Å
α = 60.00°, β = 60.00°, γ = 60.00°
Fractional coordinates of all 6 atoms:
1 Ba 0.377 0.377 0.377
2 Ba 0.377 0.377 0.870
3 Ba 0.377 0.870 0.377
4 Ba 0.870 0.377 0.377
5 Y 0.000 0.000 0.000
6 As 0.750 0.750 0.750

***

(16)
CoTeAs: optimized geometry, PBEsol.

a = 6.327 Å, b = 6.327 Å, c = 6.327 Å
α = 152.56°, β = 152.56°, γ = 39.20°
Fractional coordinates of all 3 atoms:
1 Co 0.000 0.000 0.000
2 Te 0.649 0.649 0.000
3 As 0.392 0.392 0.000

***

(17)
Al4W: optimized geometry, PBEsol.

Values from the calculation:
- Calculated formation energy: -0.141 eV per atom

a = 9.219 Å, b = 9.219 Å, c = 5.201 Å
α = 92.80°, β = 92.80°, γ = 146.97°
Fractional coordinates of all 15 atoms:
1 Al 0.000 0.000 0.000
2 Al 0.127 0.626 0.558
3 Al 0.157 0.909 0.294
4 Al 0.306 0.775 0.067
5 Al 0.358 0.358 0.639
6 Al 0.434 0.589 0.176
7 Al 0.551 0.787 0.703
8 Al 0.589 0.434 0.176
9 Al 0.626 0.127 0.558
10 Al 0.775 0.306 0.067
11 Al 0.787 0.551 0.703
12 Al 0.909 0.157 0.294
13 W 0.046 0.320 0.816
14 W 0.320 0.046 0.816
15 W 0.845 0.845 0.481

***

(18)
ScAl: optimized geometry, PBEsol.

Values from the calculation:
- Calculated formation energy: -0.463 eV per atom

a = 3.342 Å, b = 3.342 Å, c = 3.342 Å
α = 90.00°, β = 90.00°, γ = 90.00°
Fractional coordinates of all 2 atoms:
1 Sc 0.000 0.000 0.000
2 Al 0.500 0.500 0.500

***

(19)
CaLa2Al: optimized geometry, PBEsol.

Values from the calculation:
- Calculated formation energy: 0.013 eV per atom

a = 11.556 Å, b = 11.556 Å, c = 11.556 Å
α = 18.39°, β = 18.39°, γ = 18.39°
Fractional coordinates of all 4 atoms:
1 Ca 0.000 0.000 0.000
2 La 0.234 0.234 0.234
3 La 0.766 0.766 0.766
4 Al 0.500 0.500 0.500

***

(20)
TlCrI2Br: optimized geometry, PBEsol.

a = 5.561 Å, b = 5.561 Å, c = 5.048 Å
α = 90.00°, β = 90.00°, γ = 90.00°
Fractional coordinates of all 5 atoms:
1 Tl 0.000 0.000 0.000
2 Cr 0.500 0.500 0.500
3 I 0.000 0.500 0.500
4 I 0.500 0.000 0.500
5 Br 0.500 0.500 0.000

***

| no. | DOS(E_F) (states/eV/cell) | E (eV/cell) |
| --- | --- | --- |
| 1 | 4.213 | -33.78 |
| 2 | 0.000 | -414.29 |
| 3 | 0.603 | -13.31 |
| 4 | 11.991 | -14.21 |
| 5 | 5.761 | -23.44 |
| 6 | 5.304 | -59.76 |
| 7 | 4.753 | -12.40 |
| 8 | 3.572 | -42.95 |
| 9 | 6.538 | -28.27 |
| 10 | 3.337 | -31.62 |
| 11 | 2.826 | -9.62 |
| 12 | 8.566 | -39.67 |
| 13 | 3.815 | -40.59 |
| 14 | 9.422 | -38.72 |
| 15 | 8.048 | -17.89 |
| 16 | 1.784 | -16.06 |
| 17 | 6.445 | -92.63 |
| 18 | 0.763 | -11.62 |
| 19 | 5.287 | -16.86 |
| 20 | 1.021 | -20.34 |